[1]
Density functional theory data (PBE) for an optimized crystal structure of Pr8Nd2Dy.

* space-group type: C2/m, No. 12
* M_tot: 0.000 μB per formula unit
* ΔH_f (0 K): 0.13 eV/atom
* E above lowest polymorph: 0 meV per atom
* VASP energy: -4.627 eV per atom

Unit cell a=6.0776 b=9.2755 c=9.6044 alpha=61.13 beta=74.67 gamma=56.80
Sites, in units of the cell vectors:
Pr: 0.8224 0.0986 0.2326
Pr: 0.8224 0.3312 0.7674
Pr: 0.2969 0.4197 0.0000
Pr: 0.5000 0.7949 0.4101
Pr: 0.5000 0.2051 0.5899
Pr: 0.7031 0.5803 0.0000
Pr: 0.1776 0.6688 0.2326
Pr: 0.1776 0.9014 0.7674
Nd: 0.0000 0.3082 0.3835
Nd: 0.0000 0.6918 0.6165
Dy: 0.5000 0.0000 0.0000

[2]
Density functional theory data (PBE) for an optimized crystal structure of Pr3Nd5Dy.

* space-group type: C2/m, No. 12
* M_tot: 0.000 μB per formula unit
* ΔH_f (0 K): 0.37 eV/atom
* VASP energy: -4.382 eV per atom

Unit cell a=10.3057 b=10.3057 c=12.4582 alpha=48.38 beta=48.38 gamma=48.83
Sites, in units of the cell vectors:
Pr: 0.7077 0.7077 0.8896
Pr: 0.6384 0.6384 0.6693
Pr: 0.0000 0.0000 0.0000
Pr: 0.0000 0.0000 0.5000
Pr: 0.2923 0.2923 0.1104
Pr: 0.3616 0.3616 0.3307
Nd: 0.9066 0.5199 0.3480
Nd: 0.3173 0.6827 0.0000
Nd: 0.8452 0.8452 0.9587
Nd: 0.5587 0.5587 0.3009
Nd: 0.4413 0.4413 0.6991
Nd: 0.1548 0.1548 0.0413
Nd: 0.5199 0.9066 0.3480
Nd: 0.6827 0.3173 0.0000
Nd: 0.0934 0.4801 0.6520
Nd: 0.4801 0.0934 0.6520
Dy: 0.1137 0.1137 0.6455
Dy: 0.8863 0.8863 0.3545

[3]
Density functional theory data (PBE) for an optimized crystal structure of PrNdDy2.

* space-group type: Fm-3m, No. 225
* M_tot: 0.000 μB per formula unit
* ΔH_f (0 K): 0.11 eV/atom
* E above lowest polymorph: 102 meV per atom
* VASP energy: -4.574 eV per atom

Unit cell a=5.7552 b=5.7552 c=5.7552 alpha=60.00 beta=60.00 gamma=60.00
Sites, in units of the cell vectors:
Pr: 0.0000 0.0000 0.0000
Nd: 0.5000 0.5000 0.5000
Dy: 0.2500 0.2500 0.2500
Dy: 0.7500 0.7500 0.7500

[4]
Density functional theory data (PBE) for an optimized crystal structure of PrNd12Dy2.

* space-group type: Cmme, No. 67
* M_tot: 0.000 μB per formula unit
* ΔH_f (0 K): 0.15 eV/atom
* VASP energy: -4.595 eV per atom

Unit cell a=6.8610 b=6.8610 c=25.1388 alpha=90.00 beta=90.00 gamma=116.48
Sites, in units of the cell vectors:
Pr: 0.5000 0.0000 0.9983
Pr: 0.0000 0.5000 0.0017
Nd: 0.5000 0.5000 0.7998
Nd: 0.0000 0.0000 0.7998
Nd: 0.7534 0.7466 0.9242
Nd: 0.2524 0.7524 0.8680
Nd: 0.0000 0.0000 0.3255
Nd: 0.2476 0.7476 0.1320
Nd: 0.7697 0.2697 0.5846
Nd: 0.5000 0.5000 0.3255
Nd: 0.2466 0.2534 0.9242
Nd: 0.7466 0.7534 0.0758
Nd: 0.2745 0.2255 0.5598
Nd: 0.7303 0.2303 0.4154
Nd: 0.0000 0.0000 0.6745
Nd: 0.2255 0.2745 0.4402
Nd: 0.2534 0.2466 0.0758
Nd: 0.7745 0.7255 0.4402
Nd: 0.7255 0.7745 0.5598
Nd: 0.0000 0.0000 0.2002
Nd: 0.2303 0.7303 0.5846
Nd: 0.5000 0.5000 0.6745
Nd: 0.7476 0.2476 0.8680
Nd: 0.5000 0.5000 0.2002
Nd: 0.2697 0.7697 0.4154
Nd: 0.7524 0.2524 0.1320
Dy: 0.5000 0.0000 0.2678
Dy: 0.0000 0.5000 0.2721
Dy: 0.0000 0.5000 0.7322
Dy: 0.5000 0.0000 0.7279

[5]
Density functional theory data (PBE) for an optimized crystal structure of Pr12NdDy6.

* space-group type: R-3, No. 148
* M_tot: 0.000 μB per formula unit
* ΔH_f (0 K): 0.13 eV/atom
* E above lowest polymorph: 0 meV per atom
* VASP energy: -4.596 eV per atom

Unit cell a=8.7554 b=8.7554 c=8.7554 alpha=88.89 beta=88.89 gamma=88.89
Sites, in units of the cell vectors:
Pr: 0.7820 0.5355 0.4329
Pr: 0.4329 0.7820 0.5355
Pr: 0.5355 0.4329 0.7820
Pr: 0.2180 0.4645 0.5671
Pr: 0.5671 0.2180 0.4645
Pr: 0.4645 0.5671 0.2180
Pr: 0.0182 0.1948 0.3635
Pr: 0.8052 0.6365 0.9818
Pr: 0.6365 0.9818 0.8052
Pr: 0.9818 0.8052 0.6365
Pr: 0.1948 0.3635 0.0182
Pr: 0.3635 0.0182 0.1948
Nd: 0.0000 0.0000 0.0000
Dy: 0.7416 0.9004 0.2977
Dy: 0.7023 0.2584 0.0996
Dy: 0.0996 0.7023 0.2584
Dy: 0.2584 0.0996 0.7023
Dy: 0.2977 0.7416 0.9004
Dy: 0.9004 0.2977 0.7416

[6]
Density functional theory data (PBE) for an optimized crystal structure of Pr3Nd3Dy5.

* space-group type: P-62m, No. 189
* M_tot: 0.005 μB per formula unit
* ΔH_f (0 K): 0.75 eV/atom
* VASP energy: -3.946 eV per atom

Unit cell a=5.5925 b=9.7241 c=9.7241 alpha=120.00 beta=90.00 gamma=90.00
Sites, in units of the cell vectors:
Pr: 0.5000 0.6346 0.6346
Pr: 0.5000 0.0000 0.3654
Pr: 0.5000 0.3654 0.0000
Nd: 0.0000 0.4306 0.4306
Nd: 0.0000 0.5694 0.0000
Nd: 0.0000 0.0000 0.5694
Dy: 0.5000 0.3333 0.6667
Dy: 0.5000 0.6667 0.3333
Dy: 0.5000 0.2702 0.2702
Dy: 0.5000 0.0000 0.7298
Dy: 0.5000 0.7298 0.0000

[7]
Density functional theory data (PBE) for an optimized crystal structure of Pr7NdDy12.

* space-group type: R-3, No. 148
* M_tot: 0.000 μB per formula unit
* ΔH_f (0 K): 0.23 eV/atom
* E above lowest polymorph: 0 meV per atom
* VASP energy: -4.446 eV per atom

Unit cell a=8.8434 b=8.8434 c=8.8434 alpha=86.17 beta=86.17 gamma=86.17
Sites, in units of the cell vectors:
Pr: 0.8432 0.6018 0.9228
Pr: 0.3982 0.0772 0.1568
Pr: 0.0772 0.1568 0.3982
Pr: 0.5000 0.5000 0.5000
Pr: 0.9228 0.8432 0.6018
Pr: 0.6018 0.9228 0.8432
Pr: 0.1568 0.3982 0.0772
Nd: 0.0000 0.0000 0.0000
Dy: 0.8536 0.2557 0.7244
Dy: 0.7443 0.2756 0.1464
Dy: 0.6187 0.1336 0.4957
Dy: 0.8664 0.5043 0.3813
Dy: 0.2756 0.1464 0.7443
Dy: 0.5043 0.3813 0.8664
Dy: 0.4957 0.6187 0.1336
Dy: 0.7244 0.8536 0.2557
Dy: 0.1336 0.4957 0.6187
Dy: 0.3813 0.8664 0.5043
Dy: 0.2557 0.7244 0.8536
Dy: 0.1464 0.7443 0.2756

[8]
Density functional theory data (PBE) for an optimized crystal structure of Pr4NdDy5.

* space-group type: P4/mmm, No. 123
* M_tot: 0.000 μB per formula unit
* ΔH_f (0 K): 0.02 eV/atom
* E above lowest polymorph: 0 meV per atom
* VASP energy: -4.673 eV per atom

Unit cell a=3.6443 b=3.6443 c=25.3633 alpha=90.00 beta=90.00 gamma=90.00
Sites, in units of the cell vectors:
Pr: 0.0000 0.0000 0.1995
Pr: 0.0000 0.0000 0.3998
Pr: 0.0000 0.0000 0.6002
Pr: 0.0000 0.0000 0.8005
Nd: 0.0000 0.0000 0.0000
Dy: 0.5000 0.5000 0.0993
Dy: 0.5000 0.5000 0.2996
Dy: 0.5000 0.5000 0.5000
Dy: 0.5000 0.5000 0.7004
Dy: 0.5000 0.5000 0.9007

[9]
Density functional theory data (PBE) for an optimized crystal structure of PrNd6Dy2.

* space-group type: P-1, No. 2
* M_tot: 0.000 μB per formula unit
* ΔH_f (0 K): 0.02 eV/atom
* E above lowest polymorph: 0 meV per atom
* VASP energy: -4.716 eV per atom

Unit cell a=3.6600 b=8.9556 c=13.1375 alpha=132.62 beta=81.92 gamma=90.10
Sites, in units of the cell vectors:
Pr: 0.0000 0.0000 0.0000
Nd: 0.8907 0.5548 0.2190
Nd: 0.1093 0.4452 0.7810
Nd: 0.6668 0.6662 0.6671
Nd: 0.7788 0.1069 0.4418
Nd: 0.2212 0.8931 0.5582
Nd: 0.3332 0.3338 0.3329
Dy: 0.4448 0.7762 0.1103
Dy: 0.5552 0.2238 0.8897

[10]
Density functional theory data (PBE) for an optimized crystal structure of Pr2Nd3Dy4.

* space-group type: C2/c, No. 15
* M_tot: 0.000 μB per formula unit
* ΔH_f (0 K): 0.09 eV/atom
* E above lowest polymorph: 74 meV per atom
* VASP energy: -4.605 eV per atom

Unit cell a=6.1871 b=11.3790 c=11.3790 alpha=62.67 beta=63.31 gamma=63.31
Sites, in units of the cell vectors:
Pr: 0.4355 0.2646 0.5134
Pr: 0.0645 0.4866 0.7354
Pr: 0.5645 0.7354 0.4866
Pr: 0.9355 0.5134 0.2646
Nd: 0.7651 0.0196 0.3056
Nd: 0.7349 0.6944 0.9804
Nd: 0.2349 0.9804 0.6944
Nd: 0.2651 0.3056 0.0196
Nd: 0.2500 0.6368 0.3632
Nd: 0.7500 0.3632 0.6368
Dy: 0.4234 0.9442 0.1721
Dy: 0.0766 0.8279 0.0558
Dy: 0.5766 0.0558 0.8279
Dy: 0.9234 0.1721 0.9442
Dy: 0.1010 0.1517 0.3849
Dy: 0.3990 0.6151 0.8483
Dy: 0.8990 0.8483 0.6151
Dy: 0.6010 0.3849 0.1517

[11]
Density functional theory data (PBE) for an optimized crystal structure of Pr2NdDy8.

* space-group type: C2/m, No. 12
* M_tot: 0.000 μB per formula unit
* ΔH_f (0 K): 0.17 eV/atom
* E above lowest polymorph: 14 meV per atom
* VASP energy: -4.480 eV per atom

Unit cell a=6.6607 b=6.7062 c=8.9802 alpha=98.90 beta=111.77 gamma=90.00
Sites, in units of the cell vectors:
Pr: 0.7548 0.6922 0.5097
Pr: 0.2452 0.3078 0.4903
Nd: 0.0000 0.0000 0.0000
Dy: 0.8258 0.4047 0.1756
Dy: 0.6502 0.5953 0.8244
Dy: 0.7977 0.1994 0.5954
Dy: 0.2023 0.8006 0.4046
Dy: 0.3498 0.4047 0.1756
Dy: 0.1742 0.5953 0.8244
Dy: 0.5882 0.9058 0.1764
Dy: 0.4118 0.0942 0.8236

[12]
Density functional theory data (PBE) for an optimized crystal structure of Pr3Nd7Dy2.

* space-group type: P2/m, No. 10
* M_tot: 0.000 μB per formula unit
* ΔH_f (0 K): 0.07 eV/atom
* E above lowest polymorph: 0 meV per atom
* VASP energy: -4.669 eV per atom

Unit cell a=3.6066 b=6.5409 c=18.4496 alpha=75.48 beta=90.00 gamma=90.00
Sites, in units of the cell vectors:
Pr: 0.5000 0.5000 0.0000
Pr: 0.0000 0.1144 0.3386
Pr: 0.0000 0.8856 0.6614
Nd: 0.5000 0.2418 0.5028
Nd: 0.5000 0.7582 0.4972
Nd: 0.0000 0.5611 0.1686
Nd: 0.0000 0.0000 0.0000
Nd: 0.0000 0.4389 0.8314
Nd: 0.5000 0.9461 0.8308
Nd: 0.5000 0.0539 0.1692
Dy: 0.5000 0.6146 0.3298
Dy: 0.5000 0.3854 0.6702

[13]
Density functional theory data (PBE) for an optimized crystal structure of Pr8NdDy4.

* space-group type: C2/m, No. 12
* M_tot: 0.000 μB per formula unit
* ΔH_f (0 K): 0.25 eV/atom
* VASP energy: -4.474 eV per atom

Unit cell a=12.6417 b=12.0336 c=6.6344 alpha=90.00 beta=138.42 gamma=118.42
Sites, in units of the cell vectors:
Pr: 0.4792 0.7396 0.3434
Pr: 0.5208 0.2604 0.6566
Pr: 0.3143 0.1572 0.8858
Pr: 0.1537 0.3185 0.9730
Pr: 0.6857 0.8428 0.1142
Pr: 0.1537 0.8352 0.9729
Pr: 0.8463 0.1648 0.0271
Pr: 0.8463 0.6815 0.0270
Nd: 0.0000 0.5000 0.5000
Dy: 0.0000 0.0000 0.0000
Dy: 0.0000 0.5000 0.0000
Dy: 0.5000 0.5000 0.0000
Dy: 0.5000 0.0000 0.0000

[14]
Density functional theory data (PBE) for an optimized crystal structure of Pr2Nd6Dy5.

* space-group type: Pbam, No. 55
* M_tot: 0.000 μB per formula unit
* ΔH_f (0 K): 0.10 eV/atom
* VASP energy: -4.606 eV per atom

Unit cell a=3.6616 b=11.8886 c=20.6317 alpha=90.00 beta=90.00 gamma=90.00
Sites, in units of the cell vectors:
Pr: 0.0000 0.3321 0.2845
Pr: 0.0000 0.6679 0.7155
Pr: 0.0000 0.8321 0.2155
Pr: 0.0000 0.1679 0.7845
Nd: 0.0000 0.0793 0.3652
Nd: 0.0000 0.9207 0.6348
Nd: 0.0000 0.5793 0.1348
Nd: 0.0000 0.4207 0.8652
Nd: 0.5000 0.3220 0.1272
Nd: 0.5000 0.6780 0.8728
Nd: 0.5000 0.8220 0.3728
Nd: 0.5000 0.1780 0.6272
Nd: 0.0000 0.5592 0.4228
Nd: 0.0000 0.4408 0.5772
Nd: 0.0000 0.0592 0.0772
Nd: 0.0000 0.9408 0.9228
Dy: 0.5000 0.3005 0.4448
Dy: 0.5000 0.6995 0.5552
Dy: 0.5000 0.8005 0.0552
Dy: 0.5000 0.1995 0.9448
Dy: 0.5000 0.5923 0.2776
Dy: 0.5000 0.4077 0.7224
Dy: 0.5000 0.0923 0.2224
Dy: 0.5000 0.9077 0.7776
Dy: 0.5000 0.5000 0.0000
Dy: 0.5000 0.0000 0.5000

[15]
Density functional theory data (PBE) for an optimized crystal structure of Pr5NdDy2.

* space-group type: Pbam, No. 55
* M_tot: 0.000 μB per formula unit
* ΔH_f (0 K): 0.01 eV/atom
* E above lowest polymorph: 0 meV per atom
* VASP energy: -4.722 eV per atom

Unit cell a=5.1828 b=7.3264 c=14.6534 alpha=90.00 beta=90.00 gamma=90.00
Sites, in units of the cell vectors:
Pr: 0.0000 0.0000 0.0000
Pr: 0.0000 0.5000 0.5000
Pr: 0.0000 0.5000 0.7503
Pr: 0.0000 0.5000 0.2497
Pr: 0.0000 0.0000 0.2503
Pr: 0.0000 0.0000 0.7497
Pr: 0.5000 0.2505 0.8751
Pr: 0.5000 0.7495 0.1249
Pr: 0.5000 0.2495 0.3751
Pr: 0.5000 0.7505 0.6249
Nd: 0.0000 0.0000 0.5000
Nd: 0.0000 0.5000 0.0000
Dy: 0.5000 0.2499 0.6246
Dy: 0.5000 0.7501 0.3754
Dy: 0.5000 0.2501 0.1246
Dy: 0.5000 0.7499 0.8754

[16]
Density functional theory data (PBE) for an optimized crystal structure of Pr5NdDy.

* space-group type: C2/m, No. 12
* M_tot: 0.181 μB per formula unit
* ΔH_f (0 K): 0.94 eV/atom
* VASP energy: -3.815 eV per atom

Unit cell a=5.9682 b=8.1159 c=8.1159 alpha=66.33 beta=68.49 gamma=68.49
Last column: magnetic moment on the atom in μB.
Sites, in units of the cell vectors:
Pr: 0.7505 0.2496 0.2496  0.00
Pr: 0.0000 0.3239 0.6761  0.00
Pr: 0.5000 0.0000 0.0000  0.05
Pr: 0.0000 0.6761 0.3239  0.00
Pr: 0.2495 0.7504 0.7504  0.00
Nd: 0.0000 0.0000 0.0000  0.04
Dy: 0.5000 0.5000 0.5000  0.01

[17]
Density functional theory data (PBE) for an optimized crystal structure of Pr2NdDy.

* space-group type: R3m, No. 160
* M_tot: 0.000 μB per formula unit
* ΔH_f (0 K): 0.02 eV/atom
* E above lowest polymorph: 4 meV per atom
* VASP energy: -4.714 eV per atom

Unit cell a=3.6721 b=3.6721 c=12.1154 alpha=81.28 beta=81.28 gamma=60.00
Sites, in units of the cell vectors:
Pr: 0.0819 0.0819 0.7544
Pr: 0.2515 0.2515 0.2455
Nd: 0.4996 0.4996 0.5012
Dy: 0.6670 0.6670 0.9989

[18]
Density functional theory data (PBE) for an optimized crystal structure of PrNd6Dy3.

* space-group type: Cmc2_1, No. 36
* M_tot: 0.000 μB per formula unit
* ΔH_f (0 K): 0.12 eV/atom
* E above lowest polymorph: 0 meV per atom
* VASP energy: -4.596 eV per atom

Unit cell a=6.5224 b=11.8356 c=11.8356 alpha=130.85 beta=90.00 gamma=90.00
Sites, in units of the cell vectors:
Pr: 0.0085 0.1552 0.8448
Pr: 0.5085 0.8448 0.1552
Nd: 0.0784 0.7378 0.6197
Nd: 0.5784 0.6197 0.7378
Nd: 0.3306 0.4563 0.8917
Nd: 0.8306 0.8917 0.4563
Nd: 0.2842 0.9865 0.0135
Nd: 0.8061 0.3000 0.7000
Nd: 0.3061 0.7000 0.3000
Nd: 0.7842 0.0135 0.9865
Nd: 0.3306 0.1083 0.5437
Nd: 0.8306 0.5437 0.1083
Nd: 0.0784 0.3803 0.2622
Nd: 0.5784 0.2622 0.3803
Dy: 0.4847 0.9593 0.7035
Dy: 0.9847 0.7035 0.9593
Dy: 0.0991 0.4189 0.5811
Dy: 0.5991 0.5811 0.4189
Dy: 0.9847 0.0407 0.2965
Dy: 0.4847 0.2965 0.0407

[19]
Density functional theory data (PBE) for an optimized crystal structure of Pr7NdDy4.

* space-group type: P-1, No. 2
* M_tot: 0.000 μB per formula unit
* ΔH_f (0 K): 0.01 eV/atom
* E above lowest polymorph: 0 meV per atom
* VASP energy: -4.711 eV per atom

Unit cell a=7.3657 b=9.7552 c=9.0898 alpha=81.17 beta=89.98 gamma=40.96
Sites, in units of the cell vectors:
Pr: 0.7541 0.4997 0.0021
Pr: 0.2459 0.5003 0.9979
Pr: 0.9712 0.2809 0.6639
Pr: 0.0288 0.7191 0.3361
Pr: 0.2222 0.7773 0.6654
Pr: 0.5000 0.0000 0.0000
Pr: 0.7778 0.2227 0.3346
Nd: 0.0000 0.0000 0.0000
Dy: 0.5321 0.7224 0.3333
Dy: 0.4679 0.2776 0.6667
Dy: 0.7181 0.7816 0.6648
Dy: 0.2819 0.2184 0.3352